Entry from the Alexandria database: crystalline NaMgTe2 at its relaxed geometry (GGA-PBE).

abc: 4.5152 4.5152 19.9453
angles: 90.00 90.00 120.00
Space group R3m (No. 160, hexagonal axes)
One atom of each set of equivalent atoms:
Na1 0.0000 0.0000 0.0000 (multiplicity 3)
Mg1 0.0000 0.0000 0.8288 (multiplicity 3)
Te1 0.0000 0.0000 0.2379 (multiplicity 3)
Te2 0.0000 0.0000 0.4222 (multiplicity 3)

---

Entry from the Alexandria database: crystalline RbIn2Cl7 at its relaxed geometry (GGA-PBE).

abc: 8.178 18.939 4.254
angles: 90.00 90.00 90.00
Space group Cmmm (No. 65)
One atom of each set of equivalent atoms:
Rb1 0.000 0.000 0.000 (multiplicity 2)
In1 0.000 0.363 0.500 (multiplicity 4)
Cl1 0.000 0.288 0.000 (multiplicity 4)
Cl2 0.000 0.500 0.500 (multiplicity 2)
Cl3 0.206 0.126 0.500 (multiplicity 8)

---

Entry from the Alexandria database: crystalline GaBi2I6 at its relaxed geometry (GGA-PBE).

abc: 17.102 13.798 12.658
angles: 90.00 129.61 90.00
Space group C2/c (No. 15)
One atom of each set of equivalent atoms:
Ga1 0.000 0.099 0.250 (multiplicity 4)
Bi1 0.129 0.447 0.235 (multiplicity 8)
I1 0.114 0.489 0.475 (multiplicity 8)
I2 0.119 0.239 0.200 (multiplicity 8)
I3 0.147 0.033 0.573 (multiplicity 8)

---

Entry from the Alexandria database: crystalline Li4C at its relaxed geometry (GGA-PBE).

Calculated values
- offset from the most stable computed form (kcal/mol of atoms) = 8.379
- calculated formation energy (eV/atom) = 0.655

abc: 2.8865 2.8865 10.9799
angles: 90.00 90.00 120.00
Space group P-3m1 (No. 164)
One atom of each set of equivalent atoms:
Li1 0.3333 0.6667 0.1187 (multiplicity 2)
Li2 0.3333 0.6667 0.3878 (multiplicity 2)
C1 0.0000 0.0000 0.0000 (multiplicity 1)

---

Entry from the Alexandria database: crystalline Mg6ZnCO8 at its relaxed geometry (GGA-PBE).

Calculated values
- offset from the most stable computed form (kcal/mol of atoms) = 0.260

abc: 4.232 4.232 8.526
angles: 90.00 90.00 90.00
Space group P4/mmm (No. 123)
One atom of each set of equivalent atoms:
Mg1 0.000 0.000 0.000 (multiplicity 1)
Mg2 0.000 0.500 0.254 (multiplicity 4)
Mg3 0.500 0.500 0.000 (multiplicity 1)
Zn1 0.000 0.000 0.500 (multiplicity 1)
C1 0.500 0.500 0.500 (multiplicity 1)
O1 0.000 0.000 0.248 (multiplicity 2)
O2 0.000 0.500 0.000 (multiplicity 2)
O3 0.000 0.500 0.500 (multiplicity 2)
O4 0.500 0.500 0.251 (multiplicity 2)

---

Entry from the Alexandria database: crystalline Ba3Zn3Au8 at its relaxed geometry (GGA-PBE).

Calculated values
- offset from the most stable computed form (kcal/mol of atoms) = 0.267
- calculated formation energy (eV/atom) = -0.505

abc: 4.776 10.001 14.157
angles: 90.00 90.00 90.00
Space group Immm (No. 71)
One atom of each set of equivalent atoms:
Ba1 0.000 0.000 0.000 (multiplicity 2)
Ba2 0.000 0.000 0.294 (multiplicity 4)
Zn1 0.000 0.203 0.500 (multiplicity 4)
Zn2 0.000 0.500 0.000 (multiplicity 2)
Au1 0.000 0.296 0.118 (multiplicity 8)
Au2 0.000 0.357 0.344 (multiplicity 8)

---

Entry from the Alexandria database: crystalline AcPr2Ho at its relaxed geometry (GGA-PBE).

Calculated values
- offset from the most stable computed form (kcal/mol of atoms) = 1.996
- calculated formation energy (eV/atom) = 0.110

abc: 4.250 4.250 8.237
angles: 90.00 90.00 90.00
Space group P4/mmm (No. 123)
One atom of each set of equivalent atoms:
Ac1 0.000 0.000 0.000 (multiplicity 1)
Pr1 0.500 0.500 0.283 (multiplicity 2)
Ho1 0.000 0.000 0.500 (multiplicity 1)

---

Entry from the Alexandria database: crystalline RbTeP2Se8 at its relaxed geometry (GGA-PBE).

abc: 6.3396 6.3396 31.8384
angles: 90.00 90.00 120.00
Space group R-3 (No. 148, hexagonal axes)
One atom of each set of equivalent atoms:
Rb1 0.0000 0.0000 0.0000 (multiplicity 3)
Te1 0.0000 0.0000 0.5000 (multiplicity 3)
P1 0.0000 0.0000 0.2413 (multiplicity 6)
Se1 0.0000 0.0000 0.3093 (multiplicity 6)
Se2 0.0119 0.7066 0.8879 (multiplicity 18)

---

Entry from the Alexandria database: crystalline LaMgNi at its relaxed geometry (GGA-PBE).

Calculated values
- calculated formation energy (eV/atom) = -0.279

abc: 13.245 3.992 7.729
angles: 90.00 90.00 90.00
Space group Pmma (No. 51)
One atom of each set of equivalent atoms:
La1 0.040 0.000 0.229 (multiplicity 4)
La2 0.250 0.000 0.866 (multiplicity 2)
Mg1 0.133 0.500 0.565 (multiplicity 4)
Mg2 0.250 0.500 0.215 (multiplicity 2)
Ni1 0.093 0.500 0.944 (multiplicity 4)
Ni2 0.250 0.000 0.442 (multiplicity 2)

---

Entry from the Alexandria database: crystalline CaZnIn at its relaxed geometry (GGA-PBE).

Calculated values
- calculated formation energy (eV/atom) = -0.219

abc: 5.221 5.245 6.500
angles: 104.77 104.91 104.12
Space group P-1 (No. 2)
One atom of each set of equivalent atoms:
Ca1 0.158 0.343 0.249 (multiplicity 2)
Zn1 0.500 0.000 0.000 (multiplicity 1)
Zn2 0.500 0.000 0.500 (multiplicity 1)
In1 0.232 0.264 0.749 (multiplicity 2)

---

Entry from the Alexandria database: crystalline Cd2Ru at its relaxed geometry (GGA-PBE).

Calculated values
- calculated formation energy (eV/atom) = 0.330

abc: 2.936 15.282 4.814
angles: 90.00 90.00 90.00
Space group Cmcm (No. 63)
One atom of each set of equivalent atoms:
Cd1 0.000 0.055 0.250 (multiplicity 4)
Cd2 0.000 0.276 0.750 (multiplicity 4)
Ru1 0.000 0.388 0.250 (multiplicity 4)

---

Entry from the Alexandria database: crystalline RbReCl2 at its relaxed geometry (GGA-PBE).

Calculated values
- offset from the most stable computed form (kcal/mol of atoms) = 7.609

abc: 7.733 7.733 7.733
angles: 90.00 90.00 90.00
Space group Fm-3m (No. 225)
One atom of each set of equivalent atoms:
Rb1 0.000 0.000 0.000 (multiplicity 4)
Re1 0.000 0.000 0.500 (multiplicity 4)
Cl1 0.250 0.250 0.250 (multiplicity 8)

---

Uncorrected energy, respectively: -2.964, -3.123, -2.523, -2.721, -5.629, -3.063, -4.452, -3.697, -4.380, -2.224, -3.372, -3.866 eV/atom.